First-principles (GGA-PBEsol) data for a relaxed structure of Hf2H2Pt, as listed in the Alexandria database.

Output
SG: No. 139
Magnetization in μB per cell: 0.000
DFT total energy in eV/atom: -7.64
Density of states at the Fermi level in states/eV/atom: 0.621

```
5
Lattice="-1.586 1.586 6.042 1.586 -1.586 6.042 1.586 1.586 -6.042" Properties=species:S:1:pos:R:3 pbc="T T T"
Hf 0.000 0.000 1.705
Hf 0.000 0.000 10.378
H 1.586 0.000 3.021
H 0.000 1.586 3.021
Pt 0.000 0.000 6.042
```